[1]
First-principles (PBE) data for a relaxed structure of ThNi5Rh2, as listed in the Alexandria database.

Lattice parameters (Å, degrees): 3.736 6.933 9.212 90.00 90.00 90.00
Space group Immm (No. 71)
Unique sites:
Th1 0.000 0.000 0.000 [2 per cell]
Ni1 0.000 0.173 0.370 [8 per cell]
Ni2 0.000 0.500 0.000 [2 per cell]
Rh1 0.000 0.500 0.268 [4 per cell]


[2]
First-principles (PBE) data for a relaxed structure of Th2Ni9Rh, as listed in the Alexandria database.

Lattice parameters (Å, degrees): 5.0018 5.0018 23.9054 90.00 90.00 120.00
Space group R-3m (No. 166, hexagonal axes)
Unique sites:
Th1 0.0000 0.0000 0.1264 [6 per cell]
Ni1 0.0000 0.0000 0.3331 [6 per cell]
Ni2 0.0000 0.0000 0.5000 [3 per cell]
Ni3 0.0019 0.5010 0.9191 [18 per cell]
Rh1 0.0000 0.0000 0.0000 [3 per cell]


[3]
First-principles (PBE) data for a relaxed structure of ThNiRh, as listed in the Alexandria database.

Lattice parameters (Å, degrees): 3.990 10.122 5.598 90.00 90.00 90.00
Space group Cmcm (No. 63)
Unique sites:
Th1 0.000 0.172 0.250 [4 per cell]
Ni1 0.000 0.500 0.000 [4 per cell]
Rh1 0.000 0.115 0.750 [4 per cell]


[4]
First-principles (PBE) data for a relaxed structure of Th4Ni2Rh, as listed in the Alexandria database.

Lattice parameters (Å, degrees): 8.874 8.874 9.113 90.00 90.00 90.00
Space group I4_1/amd (No. 141, origin choice 2)
Unique sites:
Th1 0.000 0.056 0.201 [16 per cell]
Ni1 0.000 0.000 0.500 [8 per cell]
Rh1 0.000 0.250 0.875 [4 per cell]


[5]
First-principles (PBE) data for a relaxed structure of ThNi3Rh, as listed in the Alexandria database.

Lattice parameters (Å, degrees): 4.871 7.203 4.952 90.00 90.00 90.00
Space group Cmmm (No. 65)
Unique sites:
Th1 0.000 0.000 0.000 [2 per cell]
Ni1 0.000 0.168 0.500 [4 per cell]
Ni2 0.000 0.500 0.000 [2 per cell]
Rh1 0.000 0.500 0.500 [2 per cell]


[6]
First-principles (PBE) data for a relaxed structure of Th6NiRh10, as listed in the Alexandria database.

Lattice parameters (Å, degrees): 8.1994 8.1994 5.9451 90.00 90.00 120.00
Space group P-31m (No. 162)
Unique sites:
Th1 0.0000 0.3147 0.2518 [6 per cell]
Ni1 0.0000 0.0000 0.5000 [1 per cell]
Rh1 0.0000 0.3562 0.7505 [6 per cell]
Rh2 0.3333 0.6667 0.0000 [2 per cell]
Rh3 0.3333 0.6667 0.5000 [2 per cell]


[7]
First-principles (PBE) data for a relaxed structure of ThNiRh, as listed in the Alexandria database.

Lattice parameters (Å, degrees): 4.2162 4.2162 15.4536 90.00 90.00 120.00
Space group P6_3/mmc (No. 194)
Unique sites:
Th1 0.0000 0.0000 0.0000 [2 per cell]
Th2 0.0000 0.0000 0.2500 [2 per cell]
Ni1 0.3333 0.6667 0.1278 [4 per cell]
Rh1 0.3333 0.6667 0.6234 [4 per cell]


[8]
First-principles (PBE) data for a relaxed structure of ThNiRh, as listed in the Alexandria database.

Lattice parameters (Å, degrees): 4.2310 4.2310 3.8353 90.00 90.00 120.00
Space group P-6m2 (No. 187)
Unique sites:
Th1 0.0000 0.0000 0.0000 [1 per cell]
Ni1 0.3333 0.6667 0.5000 [1 per cell]
Rh1 0.6667 0.3333 0.5000 [1 per cell]


[9]
First-principles (PBE) data for a relaxed structure of ThNiRh2, as listed in the Alexandria database.

Lattice parameters (Å, degrees): 4.117 4.117 4.027 90.00 90.00 90.00
Space group P4/mmm (No. 123)
Unique sites:
Th1 0.000 0.000 0.000 [1 per cell]
Ni1 0.500 0.500 0.000 [1 per cell]
Rh1 0.000 0.500 0.500 [2 per cell]


[10]
First-principles (PBE) data for a relaxed structure of Th2Ni2Rh, as listed in the Alexandria database.

Lattice parameters (Å, degrees): 7.243 7.243 7.470 90.00 90.00 90.00
Space group P4/mnc (No. 128)
Unique sites:
Th1 0.183 0.317 0.000 [8 per cell]
Ni1 0.121 0.621 0.250 [8 per cell]
Rh1 0.000 0.000 0.248 [4 per cell]


[11]
First-principles (PBE) data for a relaxed structure of Th2Ni3Rh, as listed in the Alexandria database.

Lattice parameters (Å, degrees): 7.618 8.033 15.007 90.00 90.00 90.00
Space group Fmmm (No. 69)
Unique sites:
Th1 0.248 0.000 0.000 [8 per cell]
Th2 0.250 0.250 0.250 [8 per cell]
Ni1 0.000 0.000 0.163 [8 per cell]
Ni2 0.000 0.245 0.078 [16 per cell]
Rh1 0.000 0.000 0.330 [8 per cell]


[12]
First-principles (PBE) data for a relaxed structure of ThNi4Rh2, as listed in the Alexandria database.

Lattice parameters (Å, degrees): 6.294 6.294 5.148 90.00 90.00 90.00
Space group I4/mmm (No. 139)
Unique sites:
Th1 0.000 0.000 0.000 [2 per cell]
Ni1 0.196 0.196 0.500 [8 per cell]
Rh1 0.000 0.500 0.250 [4 per cell]


Number 1: energy -6.4930 eV/atom, Fermi-level density of states 13.4 states/eV/f.u., formation enthalpy at 0 K -0.114 eV per atom. Number 2: energy -6.3732 eV/atom, Fermi-level density of states 13.3 states/eV/f.u., formation enthalpy at 0 K -0.188 eV per atom. Number 3: energy -7.4954 eV/atom, Fermi-level density of states 2.1 states/eV/f.u., formation enthalpy at 0 K -0.644 eV per atom. Number 4: energy -7.3314 eV/atom, Fermi-level density of states 7.5 states/eV/f.u., formation enthalpy at 0 K -0.389 eV per atom. Number 5: energy -6.3429 eV/atom, Fermi-level density of states 4.6 states/eV/f.u., formation enthalpy at 0 K 0.080 eV per atom. Number 6: energy -8.0014 eV/atom, Fermi-level density of states 7.5 states/eV/f.u., formation enthalpy at 0 K -0.718 eV per atom. Number 7: energy -7.4412 eV/atom, Fermi-level density of states 3.7 states/eV/f.u., formation enthalpy at 0 K -0.590 eV per atom. Number 8: energy -7.4322 eV/atom, Fermi-level density of states 4.3 states/eV/f.u., formation enthalpy at 0 K -0.581 eV per atom. Number 9: energy -7.5898 eV/atom, Fermi-level density of states 5.6 states/eV/f.u., formation enthalpy at 0 K -0.614 eV per atom. Number 10: energy -7.3388 eV/atom, Fermi-level density of states 4.2 states/eV/f.u., formation enthalpy at 0 K -0.588 eV per atom. Number 11: energy -7.0974 eV/atom, Fermi-level density of states 7.7 states/eV/f.u., formation enthalpy at 0 K -0.508 eV per atom. Number 12: energy -6.8017 eV/atom, Fermi-level density of states 8.5 states/eV/f.u., formation enthalpy at 0 K -0.338 eV per atom.